1.
# CsLiAsRu2 | Alexandria | PBE | relaxed
data_CsLiAsRu2
_symmetry_space_group_name_H-M 'P 4/m m m'
_symmetry_Int_Tables_number 123
_symmetry_space_group_name_Hall '-P 4 2'
_cell_length_a 4.650
_cell_length_b 4.650
_cell_length_c 6.301
_cell_angle_alpha 90.00
_cell_angle_beta 90.00
_cell_angle_gamma 90.00
loop_
_atom_site_label
_atom_site_fract_x
_atom_site_fract_y
_atom_site_fract_z
Cs1 0.000 0.000 0.000
Li1 0.500 0.500 0.000
As1 0.000 0.000 0.500
Ru1 0.000 0.500 0.500
# Volume   136.2 Å³/cell
# Energy relative to the elements   4.2 eV/f.u.
# Density of states at the Fermi level   2.91 states/eV/cell
# Density   5.082 Mg/m³

---

2.
# Na2AsF5 | Alexandria | PBE | relaxed
data_Na2AsF5
_symmetry_space_group_name_H-M 'C 1 2/c 1'
_symmetry_Int_Tables_number 15
_cell_length_a 16.445
_cell_length_b 6.694
_cell_length_c 11.070
_cell_angle_alpha 90.00
_cell_angle_beta 121.12
_cell_angle_gamma 90.00
loop_
_symmetry_equiv_pos_as_xyz
'x,y,z'
'-x,-y,-z'
'-x,y,-z+1/2'
'x,-y,z+1/2'
'x+1/2,y+1/2,z'
'-x+1/2,-y+1/2,-z'
'-x+1/2,y+1/2,-z+1/2'
'x+1/2,-y+1/2,z+1/2'
loop_
_atom_site_label
_atom_site_fract_x
_atom_site_fract_y
_atom_site_fract_z
Na1 0.004 0.196 0.424
Na2 0.116 0.148 0.830
As1 0.221 0.343 0.332
F1 0.008 0.133 0.891
F2 0.117 0.226 0.356
F3 0.124 0.425 0.164
F4 0.196 0.016 0.715
F5 0.217 0.432 0.922
# Volume   1043.2 Å³/cell
# E_form (uncorrected)   -2427 meV per atom
# Density of states at the Fermi level   0.00 states/eV/cell
# Density   2.749 Mg/m³

---

3.
# ThH6Pd2 | Alexandria | PBE | relaxed
data_ThH6Pd2
_symmetry_space_group_name_H-M 'C 1 2/m 1'
_symmetry_Int_Tables_number 12
_cell_length_a 7.225
_cell_length_b 5.277
_cell_length_c 5.224
_cell_angle_alpha 90.00
_cell_angle_beta 110.27
_cell_angle_gamma 90.00
loop_
_symmetry_equiv_pos_as_xyz
'x,y,z'
'-x,-y,-z'
'-x,y,-z'
'x,-y,z'
'x+1/2,y+1/2,z'
'-x+1/2,-y+1/2,-z'
'-x+1/2,y+1/2,-z'
'x+1/2,-y+1/2,z'
loop_
_atom_site_label
_atom_site_fract_x
_atom_site_fract_y
_atom_site_fract_z
Th1 0.000 0.000 0.000
H1 0.059 0.000 0.532
H2 0.175 0.500 0.654
H3 0.232 0.500 0.133
Pd1 0.061 0.500 0.282
# Volume   186.9 Å³/cell
# Calculated total energy   -4.310 eV/atom
# Density of states at the Fermi level   3.87 states/eV/cell
# Density   8.014 Mg/m³

---

4.
# Ga2Rh2O | Alexandria | PBE | relaxed
data_Ga2Rh2O
_symmetry_space_group_name_H-M 'P 4/m b m'
_symmetry_Int_Tables_number 127
_symmetry_space_group_name_Hall '-P 4 2ab'
_cell_length_a 5.779
_cell_length_b 5.779
_cell_length_c 4.083
_cell_angle_alpha 90.00
_cell_angle_beta 90.00
_cell_angle_gamma 90.00
loop_
_atom_site_label
_atom_site_fract_x
_atom_site_fract_y
_atom_site_fract_z
Ga1 0.160 0.340 0.000
Rh1 0.161 0.661 0.500
O1 0.000 0.000 0.000
# Volume   136.4 Å³/cell
# Energy above the most stable polymorph in this dataset   0.0 meV per atom
# E_form (uncorrected)   -258 meV per atom
# Density of states at the Fermi level   3.68 states/eV/cell
# Density   8.798 Mg/m³

---

5.
# Li4AcAu8 | Alexandria | PBE | relaxed
data_Li4AcAu8
_symmetry_space_group_name_H-M 'I 4/m m m'
_symmetry_Int_Tables_number 139
_symmetry_space_group_name_Hall '-I 4 2'
_cell_length_a 9.372
_cell_length_b 9.372
_cell_length_c 5.395
_cell_angle_alpha 90.00
_cell_angle_beta 90.00
_cell_angle_gamma 90.00
loop_
_atom_site_label
_atom_site_fract_x
_atom_site_fract_y
_atom_site_fract_z
Li1 0.250 0.250 0.250
Ac1 0.000 0.000 0.000
Au1 0.000 0.225 0.500
Au2 0.000 0.342 0.000
# Volume   473.9 Å³/cell
# Energy relative to the elements   -6.8 eV/f.u.
# Density of states at the Fermi level   7.38 states/eV/cell
# Density   12.829 Mg/m³

---

6.
# AcScAgPt | Alexandria | PBE | relaxed
data_AcScAgPt
_symmetry_space_group_name_H-M 'F -4 3 m'
_symmetry_Int_Tables_number 216
_symmetry_space_group_name_Hall 'F -4 2 3'
_cell_length_a 7.293
_cell_length_b 7.293
_cell_length_c 7.293
_cell_angle_alpha 90.00
_cell_angle_beta 90.00
_cell_angle_gamma 90.00
loop_
_atom_site_label
_atom_site_fract_x
_atom_site_fract_y
_atom_site_fract_z
Ac1 0.000 0.000 0.000
Sc1 0.000 0.000 0.500
Ag1 0.250 0.250 0.250
Pt1 0.250 0.250 0.750
# Volume   387.9 Å³/cell
# Energy relative to the elements   -2.1 eV/f.u.
# Density of states at the Fermi level   10.40 states/eV/cell
# Density   9.845 Mg/m³